KMn3Pd | Alexandria | PBE-GGA | relaxed; energy above the most stable polymorph in this dataset = 0 meV/atom
1.0
5.048 0.000 0.000
0.000 5.048 0.000
0.000 0.000 5.048
K Mn Pd
1 3 1
direct
0.500 0.500 0.500
0.000 0.000 0.500
0.000 0.500 0.000
0.500 0.000 0.000
0.000 0.000 0.000

Zr3RuCl | Alexandria | PBE-GGA | relaxed; energy above the most stable polymorph in this dataset = 0 meV/atom
1.0
4.706 0.000 0.000
0.000 4.706 0.000
0.000 0.000 4.706
Zr Ru Cl
3 1 1
direct
0.000 0.500 0.000
0.500 0.000 0.000
0.000 0.000 0.500
0.500 0.500 0.500
0.000 0.000 0.000

What is the formula in the second record?
Zr3RuCl

Which value of energy above the most stable polymorph in this dataset does entry 2 give?
0 meV/atom